K2TeRh | PBE | optimized geometry

```
data_K2TeRh
_space_group_name_H-M_alt 'C 1 2/m 1'
_space_group_IT_number 12
_cell_length_a 5.5419
_cell_length_b 9.2731
_cell_length_c 4.5788
_cell_angle_alpha 90.00
_cell_angle_beta 90.20
_cell_angle_gamma 90.00
loop_
_space_group_symop_operation_xyz
'x,y,z'
'-x,-y,-z'
'-x,y,-z'
'x,-y,z'
'x+1/2,y+1/2,z'
'-x+1/2,-y+1/2,-z'
'-x+1/2,y+1/2,-z'
'x+1/2,-y+1/2,z'
loop_
_atom_site_label
_atom_site_fract_x
_atom_site_fract_y
_atom_site_fract_z
_atom_site_occupancy
K1 0.2500 0.2500 0.0000 1
Te1 0.0000 0.0000 0.5000 1
Rh1 0.0000 0.5000 0.5000 1
```

Output
formation energy from raw total energies: 0.00 eV per atom
ρ: 4.36 Mg/m³